(1)
Entry from Alexandria via LeMat-Bulk: PmScIr after structural relaxation (PBE-GGA).

Cell lengths 4.736, 4.736, 4.736 Å; angles 60.00, 60.00, 60.00 degrees
Fractional coordinates of all 3 atoms:
1 Pm 0.000 0.000 0.000
2 Sc 0.500 0.500 0.500
3 Ir 0.250 0.250 0.250

spin magnetization = 0.00 Bohr magnetons per cell
polymorph energy (0 for the lowest one) = 122 meV/atom
energy of formation from the pure elements = -0.575 eV per atom

---

(2)
Entry from Alexandria via LeMat-Bulk: BaY3V after structural relaxation (PBE-GGA).

Cell lengths 5.643, 5.643, 5.643 Å; angles 90.00, 90.00, 90.00 degrees
Fractional coordinates of all 5 atoms:
1 Ba 0.000 0.000 0.000
2 Y 0.000 0.000 0.500
3 Y 0.000 0.500 0.000
4 Y 0.500 0.000 0.000
5 V 0.500 0.500 0.500

spin magnetization = 3.97 Bohr magnetons per cell
polymorph energy (0 for the lowest one) = 1126 meV/atom
energy of formation from the pure elements = 1.497 eV per atom

---

(3)
Entry from Alexandria via LeMat-Bulk: MgRe2Ag after structural relaxation (PBE-GGA).

Cell lengths 5.474, 5.474, 5.474 Å; angles 146.51, 134.20, 57.92 degrees
Fractional coordinates of all 4 atoms:
1 Mg 0.000 0.000 0.000
2 Re 0.251 0.751 0.500
3 Re 0.749 0.249 0.500
4 Ag 0.500 0.500 0.000

spin magnetization = 0.00 Bohr magnetons per cell
energy of formation from the pure elements = 0.426 eV per atom

---

(4)
Entry from Alexandria via LeMat-Bulk: BeRu2S after structural relaxation (PBE-GGA).

Cell lengths 6.112, 6.112, 6.112 Å; angles 130.66, 130.66, 72.36 degrees
Fractional coordinates of all 8 atoms:
1 Be 0.000 0.000 0.000
2 Be 0.750 0.250 0.500
3 Ru 0.124 0.625 0.999
4 Ru 0.375 0.374 0.499
5 Ru 0.626 0.125 0.001
6 Ru 0.875 0.876 0.501
7 S 0.250 0.750 0.500
8 S 0.500 0.500 0.000

formation energy without anion corrections = 375 meV/atom
spin magnetization = 0.00 Bohr magnetons per cell
polymorph energy (0 for the lowest one) = 381 meV/atom

---

(5)
Entry from Alexandria via LeMat-Bulk: TaCoPt2 after structural relaxation (PBE-GGA).

Cell lengths 4.787, 4.787, 4.816 Å; angles 100.07, 100.07, 33.88 degrees
Fractional coordinates of all 4 atoms:
1 Ta 0.000 0.000 0.000
2 Co 0.745 0.745 0.267
3 Pt 0.247 0.247 0.767
4 Pt 0.490 0.490 0.483

spin magnetization = 1.69 Bohr magnetons per cell
polymorph energy (0 for the lowest one) = 240 meV/atom
energy of formation from the pure elements = -0.356 eV per atom

---

(6)
Entry from Alexandria via LeMat-Bulk: Ca2YAg after structural relaxation (PBE-GGA).

Cell lengths 3.693, 3.693, 9.487 Å; angles 90.00, 90.00, 90.00 degrees
Fractional coordinates of all 4 atoms:
1 Ca 0.000 0.000 0.000
2 Ca 0.500 0.500 0.326
3 Y 0.000 0.000 0.621
4 Ag 0.500 0.500 0.794

spin magnetization = 0.00 Bohr magnetons per cell
polymorph energy (0 for the lowest one) = 0 meV/atom
energy of formation from the pure elements = -0.118 eV per atom

---

spin magnetization of number 4 (BeRu2S)? 0.00 Bohr magnetons per cell

---

What is the formula in the third record? MgRe2Ag

---

The highest spin magnetization belongs to which entry? BaY3V

---

What is the formula in the sixth record? Ca2YAg